(1)
This record from Alexandria via LeMat-Bulk describes a geometry-optimized K4Ac3ZrTe8 structure. The functional is PBE-GGA.

a b c (Å): 9.407 9.913 9.407
angles (deg): 118.33 120.00 90.00
Last column: magnetic moment on the atom in μB.
Sites, in units of the cell vectors:
1 K 0.500 0.000 0.000  0.00
2 K 0.500 0.000 0.500  0.00
3 K 0.000 0.000 0.000  0.00
4 K 0.000 0.000 0.500  0.00
5 Ac 0.500 0.500 0.000  0.02
6 Ac 0.500 0.500 0.500  0.02
7 Ac 0.000 0.500 0.500  0.02
8 Zr 0.000 0.500 0.000  0.55
9 Te 0.224 0.712 0.989  -0.01
10 Te 0.224 0.712 0.448  -0.01
11 Te 0.257 0.271 0.514  0.00
12 Te 0.765 0.712 0.989  -0.01
13 Te 0.235 0.288 0.011  -0.01
14 Te 0.743 0.729 0.486  0.00
15 Te 0.776 0.288 0.552  -0.01
16 Te 0.776 0.288 0.011  -0.01

Properties
The raw total energy is -4.469 eV per atom. The calculation puts the energy relative to the elements, uncorrected at -1319 meV per atom.

***

(2)
This record from Alexandria via LeMat-Bulk describes a geometry-optimized K3Ac2ZrTe6 structure. The functional is PBE-GGA.

a b c (Å): 8.065 8.065 8.723
angles (deg): 98.96 98.96 120.01
Last column: magnetic moment on the atom in μB.
Sites, in units of the cell vectors:
1 K 0.173 0.827 0.500  0.00
2 K 0.827 0.173 0.500  0.00
3 K 0.500 0.500 0.500  0.00
4 Ac 0.334 0.666 0.000  0.03
5 Ac 0.666 0.334 0.000  0.03
6 Zr 0.000 0.000 0.000  0.54
7 Te 0.928 0.623 0.785  -0.01
8 Te 0.769 0.769 0.215  -0.01
9 Te 0.072 0.377 0.215  -0.01
10 Te 0.623 0.928 0.785  -0.01
11 Te 0.231 0.231 0.785  -0.01
12 Te 0.377 0.072 0.215  -0.01

Properties
The raw total energy is -4.513 eV per atom. The calculation puts the energy relative to the elements, uncorrected at -1271 meV per atom.

***

(3)
This record from Alexandria via LeMat-Bulk describes a geometry-optimized KAc2Th structure. The functional is PBE-GGA.

a b c (Å): 3.849 3.849 14.200
angles (deg): 82.21 82.21 60.00
Sites, in units of the cell vectors:
1 Ac 0.096 0.096 0.712
2 Ac 0.904 0.904 0.288
3 K 0.000 0.000 0.000
4 Th 0.500 0.500 0.500

Properties
The raw total energy is -3.990 eV per atom. Its formation energy is 0.194 eV per atom.